Entry from Alexandria via LeMat-Bulk: crystalline CsSnN3 at its relaxed geometry (PBE).

Summary:
- Raw formation energy: 1.42 eV per atom

CIF file:
```
data_CsSnN3
_chemical_formula_sum 'Cs1 Sn1 N3'
_cell_length_a 4.3430
_cell_length_b 4.3430
_cell_length_c 4.3430
_cell_angle_alpha 90.00
_cell_angle_beta 90.00
_cell_angle_gamma 90.00
_symmetry_space_group_name_H-M 'P m -3 m'
_symmetry_Int_Tables_number 221
_symmetry_space_group_name_Hall '-P 4 2 3'
loop_
_atom_site_label
_atom_site_type_symbol
_atom_site_fract_x
_atom_site_fract_y
_atom_site_fract_z
Cs1 Cs 0.0000 0.0000 0.0000
Sn1 Sn 0.5000 0.5000 0.5000
N1 N 0.0000 0.5000 0.5000
```



Entry from Alexandria via LeMat-Bulk: crystalline CsSnN3 at its relaxed geometry (PBE).

Summary:
- Raw formation energy: 2.71 eV per atom

CIF file:
```
data_CsSnN3
_chemical_formula_sum 'Cs1 Sn1 N3'
_cell_length_a 4.3828
_cell_length_b 4.3828
_cell_length_c 4.3828
_cell_angle_alpha 90.00
_cell_angle_beta 90.00
_cell_angle_gamma 90.00
_symmetry_space_group_name_H-M 'P m -3 m'
_symmetry_Int_Tables_number 221
_symmetry_space_group_name_Hall '-P 4 2 3'
loop_
_atom_site_label
_atom_site_type_symbol
_atom_site_fract_x
_atom_site_fract_y
_atom_site_fract_z
Cs1 Cs 0.0000 0.0000 0.0000
Sn1 Sn 0.5000 0.5000 0.5000
N1 N 0.0000 0.0000 0.5000
```



Entry from Alexandria via LeMat-Bulk: crystalline CsSn2N at its relaxed geometry (PBE).

Summary:
- Raw formation energy: 0.50 eV per atom

CIF file:
```
data_CsSn2N
_chemical_formula_sum 'Cs4 Sn8 N4'
_cell_length_a 7.1274
_cell_length_b 7.1274
_cell_length_c 10.6561
_cell_angle_alpha 90.00
_cell_angle_beta 90.00
_cell_angle_gamma 90.00
_symmetry_space_group_name_H-M 'I -4 2 d'
_symmetry_Int_Tables_number 122
_symmetry_space_group_name_Hall 'I -4 2bw'
loop_
_atom_site_label
_atom_site_type_symbol
_atom_site_fract_x
_atom_site_fract_y
_atom_site_fract_z
Cs1 Cs 0.0000 0.0000 0.0000
Sn1 Sn 0.0882 0.2500 0.6250
N1 N 0.0000 0.0000 0.5000
```